# 1
Here is a relaxed structure of Tl2InHg from Alexandria. Energies are from GGA-PBEsol.

a = 3.5714 Å, b = 5.4185 Å, c = 10.8672 Å
α = 90.00°, β = 90.00°, γ = 90.00°
Closest atoms and distances in Å follow each position.
Space group Imm2 (No. 44)
Symmetry-distinct sites (fractional):
Tl: 0.0000 0.0000 0.0000  2 Hg 3.21, 4 In 3.26, 4 Tl 3.41-3.57
Tl: 0.0000 0.5000 0.2330  4 Hg 3.25, 2 In 3.32, 4 Tl 3.41-3.57
In: 0.0000 0.0000 0.4760  2 Hg 3.07, 6 Tl 3.26-3.32
Hg: 0.0000 0.5000 0.7459  2 In 3.07, 6 Tl 3.21-3.25

Results
E above lowest polymorph ... 7 meV per atom
Calculated formation energy ... 0.001 eV per atom
Total magnetization ... 0.000 μB/cell

# 2
Here is a relaxed structure of TlInHg2 from Alexandria. Energies are from GGA-PBEsol.

a = 7.3784 Å, b = 7.3784 Å, c = 7.3784 Å
α = 90.00°, β = 90.00°, γ = 90.00°
Closest atoms and distances in Å follow each position.
Space group F-43m (No. 216)
Symmetry-distinct sites (fractional):
Tl: 0.0000 0.0000 0.0000  4 Hg 3.19, 4 In 3.19
In: 0.2500 0.2500 0.2500  4 Hg 3.19, 4 Tl 3.19
Hg: 0.0000 0.0000 0.5000  4 Hg 3.19, 4 In 3.19
Hg: 0.2500 0.2500 0.7500  4 Hg 3.19, 4 Tl 3.19

Results
Calculated formation energy ... 0.020 eV per atom
Total magnetization ... 0.000 μB/cell

# 3
Here is a relaxed structure of Tl2InHg from Alexandria. Energies are from GGA-PBEsol.

a = 7.4814 Å, b = 7.4814 Å, c = 7.4814 Å
α = 90.00°, β = 90.00°, γ = 90.00°
Closest atoms and distances in Å follow each position.
Space group F-43m (No. 216)
Symmetry-distinct sites (fractional):
Tl: 0.0000 0.0000 0.0000  4 Tl 3.24, 4 In 3.24
Tl: 0.2500 0.2500 0.2500  4 Hg 3.24, 4 Tl 3.24
In: 0.2500 0.2500 0.7500  4 Hg 3.24, 4 Tl 3.24
Hg: 0.0000 0.0000 0.5000  4 Tl 3.24, 4 In 3.24

Results
E above lowest polymorph ... 22 meV per atom
Calculated formation energy ... 0.017 eV per atom
Total magnetization ... 0.000 μB/cell

- Look up the calculated formation energy of the second one.
  0.020 eV per atom